Below is an optimized crystal structure of NaPuCdGe, with properties calculated at the PBE level.

Cell: 5.122 5.122 5.122 Å, 60.00 60.00 60.00°
Positions (direct):
Na: 0.000 0.000 0.000
Pu: 0.500 0.500 0.500
Cd: 0.250 0.250 0.250
Ge: 0.750 0.750 0.750

D(E_F) = 10.8 states/eV/f.u.
energy of formation = -81 meV per atom
SG = F-43m, No. 216
total DFT energy (no corrections) = -5.377 eV/atom